Arrangement P

Below is a geometry-optimized Co2RuRh2 structure, with properties calculated at the PBE level.

Calculated values
V (Å³ per atom): 13.51
Crystal system: tetragonal
Density (g/cm³): 10.439

a b c (Å): 7.1260 7.1260 2.6611
angles (deg): 90.00 90.00 90.00
Closest atoms and distances in Å follow each position.
Space group P4/mbm (No. 127)
One atom of each set of equivalent atoms:
Co1 0.1687 0.3313 0.0000 (multiplicity 4)  6 Rh 2.43-2.53, 2 Co 2.66
Ru1 0.0000 0.0000 0.5000 (multiplicity 2)  2 Ru 2.66, 4 Rh 2.79, 8 Co 2.96
Rh1 0.1300 0.6300 0.5000 (multiplicity 4)  6 Co 2.43-2.53, 3 Rh 2.62-2.66

***

Arrangement Q

Below is a geometry-optimized Co2RuRh2 structure, with properties calculated at the PBE level.

Calculated values
V (Å³ per atom): 13.30
Crystal system: tetragonal
Density (g/cm³): 10.610

a b c (Å): 6.9921 6.9921 2.7195
angles (deg): 90.00 90.00 90.00
Closest atoms and distances in Å follow each position.
Space group P4/mbm (No. 127)
One atom of each set of equivalent atoms:
Co1 0.1203 0.3797 0.0000 (multiplicity 4)  1 Co 2.38, 6 Rh 2.43-2.51
Ru1 0.0000 0.0000 0.0000 (multiplicity 2)  2 Ru 2.72, 4 Co 2.78, 8 Rh 2.91
Rh1 0.1765 0.6765 0.5000 (multiplicity 4)  6 Co 2.43-2.51

***

It is arrangement Q that is most stable; the runner-up trails by 0.066 eV/atom.

***

Arrangement P

Below is a geometry-optimized TaCoRuRh structure, with properties calculated at the PBE level.

Calculated values
V (Å³ per atom): 14.54
Crystal system: cubic
Density (g/cm³): 12.671

a b c (Å): 6.1506 6.1506 6.1506
angles (deg): 90.00 90.00 90.00
Closest atoms and distances in Å follow each position.
Space group F-43m (No. 216)
One atom of each set of equivalent atoms:
Ta1 0.0000 0.0000 0.0000 (multiplicity 4)  4 Rh 2.66, 4 Ru 2.66
Co1 0.0000 0.0000 0.5000 (multiplicity 4)  4 Ru 2.66, 4 Rh 2.66
Ru1 0.2500 0.2500 0.7500 (multiplicity 4)  4 Ta 2.66, 4 Co 2.66
Rh1 0.2500 0.2500 0.2500 (multiplicity 4)  4 Ta 2.66, 4 Co 2.66

***

Arrangement Q

Below is a geometry-optimized TaCoRuRh structure, with properties calculated at the PBE level.

Calculated values
V (Å³ per atom): 13.97
Crystal system: orthorhombic
Density (g/cm³): 13.187

a b c (Å): 3.7756 3.8301 3.8651
angles (deg): 90.00 90.00 90.00
Closest atoms and distances in Å follow each position.
Space group Pmmm (No. 47)
One atom of each set of equivalent atoms:
Ta1 0.0000 0.0000 0.0000 (multiplicity 1)  4 Ru 2.69, 4 Rh 2.70, 4 Co 2.72
Co1 0.0000 0.5000 0.5000 (multiplicity 1)  4 Rh 2.69, 4 Ru 2.70, 4 Ta 2.72
Ru1 0.5000 0.5000 0.0000 (multiplicity 1)  4 Ta 2.69, 4 Co 2.70, 4 Rh 2.72
Rh1 0.5000 0.0000 0.5000 (multiplicity 1)  4 Co 2.69, 4 Ta 2.70, 4 Ru 2.72

***

It is arrangement Q that is most stable; the runner-up trails by 0.183 eV/atom.

***

Arrangement P

Below is a geometry-optimized Co2RhS4 structure, with properties calculated at the PBE level.

Calculated values
V (Å³ per atom): 14.80
Crystal system: monoclinic
Density (g/cm³): 5.593

a b c (Å): 11.8254 3.3795 5.8133
angles (deg): 90.00 116.86 90.00
Closest atoms and distances in Å follow each position.
Space group C2/m (No. 12)
One atom of each set of equivalent atoms:
Co1 0.2323 0.0000 0.2107 (multiplicity 4)  6 S 2.20-2.42
Rh1 0.0000 0.5000 0.5000 (multiplicity 2)  6 S 2.41-2.42
S1 0.1303 0.5000 0.9601 (multiplicity 4)  3 Co 2.20-2.26, 1 Rh 2.41
S2 0.1421 0.0000 0.4832 (multiplicity 4)  3 Co 2.27-2.42, 2 Rh 2.42

***

Arrangement Q

Below is a geometry-optimized Co2RhS4 structure, with properties calculated at the PBE level.

Calculated values
V (Å³ per atom): 15.25
Crystal system: orthorhombic
Density (g/cm³): 5.431

a b c (Å): 6.6870 6.7296 9.4863
angles (deg): 90.00 90.00 90.00
Closest atoms and distances in Å follow each position.
Space group Imma (No. 74)
One atom of each set of equivalent atoms:
Co1 0.0000 0.2500 0.1253 (multiplicity 4)  4 S 2.12-2.14
Co2 0.2500 0.2500 0.7500 (multiplicity 4)  6 S 2.27-2.30
Rh1 0.0000 0.0000 0.5000 (multiplicity 4)  6 S 2.36-2.38
S1 0.0000 0.0162 0.7503 (multiplicity 8)  3 Co 2.14-2.30, 1 Rh 2.38
S2 0.2474 0.2500 0.5105 (multiplicity 8)  2 Co 2.12-2.27, 2 Rh 2.36

***

It is arrangement Q that is most stable; the runner-up trails by 0.042 eV/atom.

***

Arrangement P

Below is a geometry-optimized CoSb2Rh2 structure, with properties calculated at the PBE level.

Calculated values
V (Å³ per atom): 17.66
Crystal system: tetragonal
Density (g/cm³): 9.558

a b c (Å): 7.0873 7.0873 3.5157
angles (deg): 90.00 90.00 90.00
Closest atoms and distances in Å follow each position.
Space group P4/mbm (No. 127)
One atom of each set of equivalent atoms:
Co1 0.0000 0.0000 0.0000 (multiplicity 2)  4 Rh 2.74
Sb1 0.1649 0.3351 0.5000 (multiplicity 4)  6 Rh 2.64-2.79
Rh1 0.1392 0.6392 0.0000 (multiplicity 4)  6 Sb 2.64-2.79, 2 Co 2.74, 1 Rh 2.79

***

Arrangement Q

Below is a geometry-optimized CoSb2Rh2 structure, with properties calculated at the PBE level.

Calculated values
V (Å³ per atom): 20.43
Crystal system: tetragonal
Density (g/cm³): 8.261

a b c (Å): 4.2740 4.2740 11.1857
angles (deg): 90.00 90.00 90.00
Closest atoms and distances in Å follow each position.
Space group I4/mmm (No. 139)
One atom of each set of equivalent atoms:
Co1 0.0000 0.0000 0.0000 (multiplicity 2)  8 Rh 3.28, 8 Sb 3.52
Sb1 0.0000 0.5000 0.2500 (multiplicity 4)  4 Rh 2.62
Rh1 0.0000 0.0000 0.3851 (multiplicity 4)  1 Rh 2.57, 4 Sb 2.62

***

It is arrangement P that is most stable; the runner-up trails by 0.419 eV/atom.

***

Arrangement P

Below is a geometry-optimized ScCo2Rh2 structure, with properties calculated at the PBE level.

Calculated values
V (Å³ per atom): 14.44
Crystal system: tetragonal
Density (g/cm³): 8.479

a b c (Å): 7.1498 7.1498 2.8244
angles (deg): 90.00 90.00 90.00
Closest atoms and distances in Å follow each position.
Space group P4/mbm (No. 127)
One atom of each set of equivalent atoms:
Sc1 0.0000 0.0000 0.0000 (multiplicity 2)  4 Rh 2.80, 2 Sc 2.82, 8 Co 3.01
Co1 0.1681 0.3319 0.5000 (multiplicity 4)  6 Rh 2.48-2.58
Rh1 0.1308 0.6308 0.0000 (multiplicity 4)  6 Co 2.48-2.58, 1 Rh 2.65

***

Arrangement Q

Below is a geometry-optimized ScCo2Rh2 structure, with properties calculated at the PBE level.

Calculated values
V (Å³ per atom): 14.26
Crystal system: tetragonal
Density (g/cm³): 8.584

a b c (Å): 7.1130 7.1130 2.8189
angles (deg): 90.00 90.00 90.00
Closest atoms and distances in Å follow each position.
Space group P4/mbm (No. 127)
One atom of each set of equivalent atoms:
Sc1 0.0000 0.0000 0.0000 (multiplicity 2)  2 Sc 2.82, 4 Co 2.84, 8 Rh 2.97
Co1 0.1185 0.3815 0.0000 (multiplicity 4)  1 Co 2.38, 6 Rh 2.49-2.56
Rh1 0.1770 0.6770 0.5000 (multiplicity 4)  6 Co 2.49-2.56

***

It is arrangement Q that is most stable; the runner-up trails by 0.067 eV/atom.

***

Arrangement P

Below is a geometry-optimized ScCoRh3 structure, with properties calculated at the PBE level.

Calculated values
V (Å³ per atom): 19.30
Crystal system: cubic
Density (g/cm³): 7.100

a b c (Å): 4.5868 4.5868 4.5868
angles (deg): 90.00 90.00 90.00
Closest atoms and distances in Å follow each position.
Space group Pm-3m (No. 221)
One atom of each set of equivalent atoms:
Sc1 0.0000 0.0000 0.0000 (multiplicity 1)  6 Rh 2.29
Co1 0.5000 0.5000 0.5000 (multiplicity 1)  12 Rh 3.24
Rh1 0.0000 0.0000 0.5000 (multiplicity 3)  2 Sc 2.29

***

Arrangement Q

Below is a geometry-optimized ScCoRh3 structure, with properties calculated at the PBE level.

Calculated values
V (Å³ per atom): 17.82
Crystal system: cubic
Density (g/cm³): 7.690

a b c (Å): 4.4664 4.4664 4.4664
angles (deg): 90.00 90.00 90.00
Closest atoms and distances in Å follow each position.
Space group Pm-3m (No. 221)
One atom of each set of equivalent atoms:
Sc1 0.0000 0.0000 0.0000 (multiplicity 1)  12 Rh 3.16
Co1 0.5000 0.5000 0.5000 (multiplicity 1)  6 Rh 2.23
Rh1 0.0000 0.5000 0.5000 (multiplicity 3)  2 Co 2.23

***

It is arrangement Q that is most stable; the runner-up trails by 0.790 eV/atom.